(1)
BaMo2O8: relaxed, PBE+U.

Summary:
magnetization	0.000	Bohr magnetons per cell
SG	C2/m (12)
relative energy among the computed polymorphs	0.000	eV/f.u.

Cell lengths 6.2100, 6.2100, 7.4606 Å; angles 102.49, 102.49, 38.91 degrees
With the nearest neighbours (Å) after each atom.
Fractional positions:
Ba: 0.0000 0.0000 0.0000  8 O 2.74-2.85
Mo: 0.2265 0.2265 0.6666  4 O 1.78-1.93
Mo: 0.7735 0.7735 0.3334  4 O 1.78-1.93
O: 0.1467 0.6162 0.2597  1 Mo 1.85, 1 O 1.94
O: 0.2135 0.2135 0.4038  1 Mo 1.93
O: 0.3594 0.3594 0.8410  1 Mo 1.78
O: 0.3838 0.8533 0.7403  1 Mo 1.85, 1 O 1.94
O: 0.6162 0.1467 0.2597  1 Mo 1.85, 1 O 1.94
O: 0.6406 0.6406 0.1590  1 Mo 1.78
O: 0.7865 0.7865 0.5962  1 Mo 1.93
O: 0.8533 0.3838 0.7403  1 Mo 1.85, 1 O 1.94

***

(2)
Ba3Mo4O12: relaxed, PBE+U.

Summary:
magnetization	6.000	Bohr magnetons per cell
SG	C2/m (12)
calculated total energy	-133.73	eV per cell

Cell lengths 7.0829, 7.0829, 8.1678 Å; angles 124.92, 124.92, 71.26 degrees
With the nearest neighbours (Å) after each atom.
Fractional positions:
Ba: 0.0000 0.0000 0.0000  12 O 2.84-2.95
Ba: 0.0000 0.0000 0.5000  12 O 2.78-2.93
Ba: 0.5000 0.5000 0.0000  12 O 2.85-2.91
Mo: 0.0000 0.5000 0.0000  6 O 1.93-2.07
Mo: 0.0000 0.5000 0.5000  6 O 2.03-2.15
Mo: 0.5000 0.0000 0.0000  6 O 1.93-2.07
Mo: 0.5000 0.0000 0.5000  6 O 2.03-2.15
O: 0.0033 0.5010 0.7657  2 Mo 1.93-2.15
O: 0.2386 0.2386 0.9816  2 Mo 2.07
O: 0.2451 0.2451 0.5082  2 Mo 2.07
O: 0.2447 0.7518 0.7557  2 Mo 2.03-2.06
O: 0.2482 0.7553 0.2443  2 Mo 2.03-2.06
O: 0.4990 0.9967 0.2343  2 Mo 1.93-2.15
O: 0.5010 0.0033 0.7657  2 Mo 1.93-2.15
O: 0.7518 0.2447 0.7557  2 Mo 2.03-2.06
O: 0.7553 0.2482 0.2443  2 Mo 2.03-2.06
O: 0.7549 0.7549 0.4918  2 Mo 2.07
O: 0.7614 0.7614 0.0184  2 Mo 2.07
O: 0.9967 0.4990 0.2343  2 Mo 1.93-2.15

***

(3)
Ba2MoO5: relaxed, PBE+U.

Summary:
magnetization	0.329	Bohr magnetons per cell
SG	P1 (1)
relative energy among the computed polymorphs	0.000	eV/f.u.

Cell lengths 4.4707, 11.9011, 12.2641 Å; angles 90.00, 90.22, 90.16 degrees
With the nearest neighbours (Å) after each atom.
Fractional positions:
Ba: 0.0000 0.0000 0.0000  3 O 2.56-2.68
Ba: 0.0025 0.0274 0.3525  1 O 2.45
Ba: 0.0077 0.5270 0.2815  1 O 2.45
Ba: 0.0187 0.5004 0.6340  3 O 2.55-2.65
Ba: 0.5060 0.2295 0.1333  3 O 2.55-2.67
Ba: 0.5178 0.7031 0.8525  1 O 2.45
Ba: 0.5204 0.2029 0.7813  1 O 2.45
Ba: 0.5306 0.7296 0.5000  3 O 2.56-2.66
Mo: 0.1022 0.9323 0.6929  4 O 1.78-1.83
Mo: 0.4247 0.7974 0.1931  4 O 1.78-1.82
Mo: 0.4283 0.2980 0.4409  4 O 1.78-1.82
Mo: 0.9364 0.4321 0.9409  4 O 1.78-1.83
O: 0.0060 0.8903 0.5555  1 Mo 1.81
O: 0.0100 0.8362 0.8038  1 Mo 1.83
O: 0.0121 0.1186 0.1737  4 Ba 2.45-2.67
O: 0.0188 0.5772 0.9066  1 Mo 1.81
O: 0.0199 0.0773 0.7267  1 Mo 1.81
O: 0.0254 0.6186 0.4602  4 Ba 2.45-2.66
O: 0.0262 0.8025 0.1936  1 Mo 1.78
O: 0.0278 0.3359 0.8301  1 Mo 1.83
O: 0.0298 0.3043 0.4404  1 Mo 1.78
O: 0.0322 0.3906 0.0784  1 Mo 1.81
O: 0.5006 0.9264 0.6938  1 Mo 1.78
O: 0.5081 0.1527 0.4072  1 Mo 1.81
O: 0.5092 0.1110 0.9597  4 Ba 2.45-2.68
O: 0.5097 0.6527 0.2274  1 Mo 1.81
O: 0.5164 0.8938 0.3042  1 Mo 1.82
O: 0.5195 0.8398 0.0560  1 Mo 1.81
O: 0.5195 0.3936 0.3295  1 Mo 1.82
O: 0.5215 0.6114 0.6739  4 Ba 2.45-2.65
O: 0.5263 0.3404 0.5781  1 Mo 1.81
O: 0.5379 0.4256 0.9400  1 Mo 1.78

***

(4)
Ba2Mo3O7: relaxed, PBE+U.

Summary:
magnetization	7.791	Bohr magnetons per cell
SG	Pmmm (47)
calculated total energy	-81.09	eV per cell

Cell lengths 4.0501, 4.0891, 11.8524 Å; angles 90.00, 90.00, 90.00 degrees
With the nearest neighbours (Å) after each atom.
Fractional positions:
Ba: 0.0000 0.0000 0.1973  8 O 2.75-2.89
Ba: 0.0000 0.0000 0.8027  8 O 2.75-2.89
Mo: 0.5000 0.5000 0.0000  4 O 2.04
Mo: 0.5000 0.5000 0.3681  4 O 2.03-2.05
Mo: 0.5000 0.5000 0.6319  4 O 2.03-2.05
O: 0.0000 0.5000 0.3534  2 Mo 2.03
O: 0.0000 0.5000 0.6466  2 Mo 2.03
O: 0.5000 0.0000 0.0000  2 Mo 2.04
O: 0.5000 0.0000 0.3544  2 Mo 2.05
O: 0.5000 0.0000 0.6456  2 Mo 2.05
O: 0.5000 0.5000 0.1725  1 Mo 2.04
O: 0.5000 0.5000 0.8275  1 Mo 2.04

***

(5)
BaMo2O8: relaxed, PBE+U.

Summary:
magnetization	0.436	Bohr magnetons per cell
SG	P4/mmm (123)
relative energy among the computed polymorphs	4.300	eV/f.u.

Cell lengths 4.8077, 4.8077, 6.6124 Å; angles 90.00, 90.00, 90.00 degrees
With the nearest neighbours (Å) after each atom.
Fractional positions:
Ba: 0.0000 0.0000 0.0000  8 O 2.73
Mo: 0.0000 0.5000 0.5000  8 O 2.07
Mo: 0.5000 0.0000 0.5000  8 O 2.07
O: 0.2508 0.2508 0.3223  2 Mo 2.07
O: 0.2508 0.2508 0.6777  2 Mo 2.07
O: 0.2508 0.7492 0.3223  2 Mo 2.07
O: 0.2508 0.7492 0.6777  2 Mo 2.07
O: 0.7492 0.2508 0.3223  2 Mo 2.07
O: 0.7492 0.2508 0.6777  2 Mo 2.07
O: 0.7492 0.7492 0.3223  2 Mo 2.07
O: 0.7492 0.7492 0.6777  2 Mo 2.07

***

(6)
BaMoO4: relaxed, PBE+U.

Summary:
magnetization	0.000	Bohr magnetons per cell
SG	I4_1/a (88)
calculated total energy	-85.05	eV per cell

Cell lengths 7.6482, 7.6482, 7.6482 Å; angles 136.30, 136.30, 63.52 degrees
With the nearest neighbours (Å) after each atom.
Fractional positions:
Ba: 0.3750 0.1250 0.2500  8 O 2.79-2.83
Ba: 0.6250 0.8750 0.7500  8 O 2.79-2.83
Mo: 0.1250 0.3750 0.7500  4 O 1.80
Mo: 0.8750 0.6250 0.2500  4 O 1.80
O: 0.0823 0.6864 0.8644  1 Mo 1.80
O: 0.1864 0.8219 0.6040  1 Mo 1.80
O: 0.2821 0.4177 0.1040  1 Mo 1.80
O: 0.3219 0.2179 0.6356  1 Mo 1.80
O: 0.6781 0.7821 0.3644  1 Mo 1.80
O: 0.7179 0.5823 0.8960  1 Mo 1.80
O: 0.8136 0.1781 0.3960  1 Mo 1.80
O: 0.9177 0.3136 0.1356  1 Mo 1.80

***

(7)
Ba4Mo3O10: relaxed, PBE+U.

Summary:
magnetization	6.000	Bohr magnetons per cell
SG	I4/mmm (139)
calculated total energy	-117.24	eV per cell

Cell lengths 15.4261, 15.4261, 15.4261 Å; angles 164.55, 164.55, 21.92 degrees
With the nearest neighbours (Å) after each atom.
Fractional positions:
Ba: 0.0682 0.0682 0.0000  12 O 2.93
Ba: 0.2036 0.2036 0.0000  9 O 2.67-2.94
Ba: 0.7964 0.7964 0.0000  9 O 2.67-2.94
Ba: 0.9318 0.9318 0.0000  12 O 2.93
Mo: 0.3612 0.3612 0.0000  6 O 2.07-2.21
Mo: 0.5000 0.5000 0.0000  6 O 1.99-2.07
Mo: 0.6388 0.6388 0.0000  6 O 2.07-2.21
O: 0.0000 0.5000 0.5000  2 Mo 2.07
O: 0.1368 0.6368 0.5000  2 Mo 2.07
O: 0.2917 0.2917 0.0000  1 Mo 2.10
O: 0.3632 0.8632 0.5000  2 Mo 2.07
O: 0.4342 0.4342 0.0000  2 Mo 1.99-2.21
O: 0.5000 0.0000 0.5000  2 Mo 2.07
O: 0.5658 0.5658 0.0000  2 Mo 1.99-2.21
O: 0.6368 0.1368 0.5000  2 Mo 2.07
O: 0.7083 0.7083 0.0000  1 Mo 2.10
O: 0.8632 0.3632 0.5000  2 Mo 2.07

***

(8)
BaMo2O: relaxed, PBE+U.

Summary:
magnetization	31.588	Bohr magnetons per cell
SG	I4_1/amd (141)
calculated total energy	-83.05	eV per cell

Cell lengths 6.9660, 6.9660, 9.8743 Å; angles 90.00, 90.00, 90.00 degrees
With the nearest neighbours (Å) after each atom.
Fractional positions:
Ba: 0.0000 0.2500 0.3750  12 Mo 4.09, 4 Ba 4.27, 4 O 4.27
Ba: 0.0000 0.7500 0.6250  12 Mo 4.09, 4 O 4.27, 4 Ba 4.27
Ba: 0.5000 0.2500 0.1250  12 Mo 4.09, 4 Ba 4.27, 4 O 4.27
Ba: 0.5000 0.7500 0.8750  12 Mo 4.09, 4 O 4.27, 4 Ba 4.27
Mo: 0.0000 0.0000 0.0000  2 O 2.13
Mo: 0.0000 0.5000 0.0000  2 O 2.13
Mo: 0.2500 0.2500 0.7500  2 O 2.13
Mo: 0.2500 0.7500 0.2500  2 O 2.13
Mo: 0.5000 0.0000 0.5000  2 O 2.13
Mo: 0.5000 0.5000 0.5000  2 O 2.13
Mo: 0.7500 0.2500 0.7500  2 O 2.13
Mo: 0.7500 0.7500 0.2500  2 O 2.13
O: 0.0000 0.2500 0.8750  4 Mo 2.13
O: 0.0000 0.7500 0.1250  4 Mo 2.13
O: 0.5000 0.2500 0.6250  4 Mo 2.13
O: 0.5000 0.7500 0.3750  4 Mo 2.13